## Zr3IO (PBEsol)

Data for crystalline Zr3IO at its relaxed geometry.

```
data_Zr3IO
_chemical_formula_sum 'Zr3 I1 O1'
_cell_length_a 4.458
_cell_length_b 4.458
_cell_length_c 4.458
_cell_angle_alpha 90.00
_cell_angle_beta 90.00
_cell_angle_gamma 90.00
_space_group_name_H-M_alt 'P m -3 m'
_space_group_IT_number 221
_space_group_name_Hall '-P 4 2 3'
loop_
_atom_site_label
_atom_site_type_symbol
_atom_site_fract_x
_atom_site_fract_y
_atom_site_fract_z
Zr1 Zr 0.000 0.000 0.500
I1 I 0.500 0.500 0.500
O1 O 0.000 0.000 0.000
```

formation energy from raw total energies: -0.866 eV per atom
size of the total moment: 0.000 μB per atom
Fermi-level density of states: 6.2 states/eV/cell

=====

## P3OsI (PBEsol)

Data for crystalline P3OsI at its relaxed geometry.

```
data_P3OsI
_chemical_formula_sum 'P3 Os1 I1'
_cell_length_a 4.619
_cell_length_b 4.619
_cell_length_c 4.619
_cell_angle_alpha 90.00
_cell_angle_beta 90.00
_cell_angle_gamma 90.00
_space_group_name_H-M_alt 'P m -3 m'
_space_group_IT_number 221
_space_group_name_Hall '-P 4 2 3'
loop_
_atom_site_label
_atom_site_type_symbol
_atom_site_fract_x
_atom_site_fract_y
_atom_site_fract_z
P1 P 0.000 0.000 0.500
Os1 Os 0.000 0.000 0.000
I1 I 0.500 0.500 0.500
```

formation energy from raw total energies: 0.601 eV per atom
excess energy over the best structure of this formula in the dataset: 0 meV/atom
size of the total moment: 0.000 μB per atom
Fermi-level density of states: 4.5 states/eV/cell

=====

## Sb2POsI (PBEsol)

Data for crystalline Sb2POsI at its relaxed geometry.

```
data_Sb2POsI
_chemical_formula_sum 'Sb2 P1 Os1 I1'
_cell_length_a 5.000
_cell_length_b 5.000
_cell_length_c 4.998
_cell_angle_alpha 90.00
_cell_angle_beta 90.00
_cell_angle_gamma 90.00
_space_group_name_H-M_alt 'P 4/m m m'
_space_group_IT_number 123
_space_group_name_Hall '-P 4 2'
loop_
_atom_site_label
_atom_site_type_symbol
_atom_site_fract_x
_atom_site_fract_y
_atom_site_fract_z
Sb1 Sb 0.000 0.500 0.000
P1 P 0.000 0.000 0.000
Os1 Os 0.500 0.500 0.500
I1 I 0.000 0.000 0.500
```

formation energy from raw total energies: 1.622 eV per atom
size of the total moment: 0.279 μB per atom
Fermi-level density of states: 5.8 states/eV/cell

=====

Q: Which formula does entry 3 have?
A: Sb2POsI

=====

Q: Which of these has the highest Fermi-level density of states?
A: Zr3IO

=====

Q: Fermi-level density of states of number 3 (Sb2POsI)?
A: 5.8 states/eV/cell